Here is a relaxed MgSc3O crystal from the Alexandria database. Energies are from GGA-PBE.

a b c (Å): 3.3156 4.3598 6.4969
angles (deg): 90.00 90.07 90.00
With the nearest neighbours (Å) after each atom.
Sites, in units of the cell vectors:
Mg (0.0000, 0.0000, 0.0000)  10 Sc 3.23-3.25, 2 Mg 3.32
Sc (0.0000, 0.0000, 0.5000)  2 O 2.18
Sc (0.4993, 0.5000, 0.2632)  2 O 2.26
Sc (0.5007, 0.5000, 0.7368)  2 O 2.26
O (0.0000, 0.5000, 0.5000)  6 Sc 2.18-2.26

Computed properties:
Formation energy without anion corrections ... -1199 meV/atom
Space group ... P2/m (10)

---

Here is a relaxed MgSc3O crystal from the Alexandria database. Energies are from GGA-PBE.

a b c (Å): 4.0984 4.0984 8.4583
angles (deg): 90.00 90.00 90.00
With the nearest neighbours (Å) after each atom.
Sites, in units of the cell vectors:
Mg (0.0000, 0.0000, 0.0000)  5 Sc 3.18-3.37
Sc (0.0000, 0.0000, 0.6235)  1 Mg 3.18, 4 Sc 3.31
Sc (0.0000, 0.5000, 0.3159)  2 O 2.08
Sc (0.5000, 0.0000, 0.3159)  2 O 2.08
O (0.5000, 0.5000, 0.2719)  4 Sc 2.08

Computed properties:
Formation energy without anion corrections ... -528 meV/atom
Space group ... P4mm (99)